BaTaBr2 (PBE-GGA, optimized geometry); symmetry = Amm2 (38); E above lowest polymorph = 0.034 eV/atom; crystal system = orthorhombic
1.0
-1.6589 4.8298 -0.1184
-0.9676 -0.2488 3.4062
5.2758 1.8974 3.4806
Br Ta Ba
2 1 1
Cartesian
0.2561 0.0955 0.3094 Br
0.3775 2.8897 2.3972 Br
1.7611 0.6693 2.6278 Ta
2.4087 3.6481 4.8774 Ba

=====

CeThMnZn (PBE-GGA, optimized geometry); symmetry = F-43m (216); ΔE_f = 0.070 eV per atom; crystal system = cubic
1.0
5.0780 0.0000 0.0000
2.5390 4.3977 0.0000
2.5390 1.4659 4.1462
Mn Zn Th Ce
1 1 1 1
Cartesian
5.0780 2.9318 2.0731 Mn
0.0000 0.0000 0.0000 Zn
7.6170 4.3977 3.1096 Th
2.5390 1.4659 1.0365 Ce

=====

ReAg2W (PBE-GGA, optimized geometry); symmetry = P4/mmm (123); ΔE_f = 1.079 eV per atom; E above lowest polymorph = 0.723 eV/atom; crystal system = tetragonal
1.0
-2.5631 0.4638 -2.3144
-0.8547 -3.3670 0.2717
-3.4295 1.1964 4.0379
Re Ag W
1 2 1
Cartesian
-2.5663 -1.1525 -0.0119 Re
-1.7107 0.5968 2.0142 Ag
-0.0040 0.0014 0.0047 Ag
-4.2810 -0.5543 2.0071 W

=====

Calculated volume readings, ordered: 28.8, 23.1, 16.5 Å³/atom
Calculated density readings, ordered: 6.9, 8.8, 14.8 g/cm3